KPu2RhO8 (PBE, optimized geometry); size of the total moment = 4.0 μB/cell; energy relative to the elements, uncorrected = -1.8815 eV/atom
1.0
-3.939 -0.460 -4.046
-0.292 -3.263 4.623
-3.784 4.786 3.139
K Pu Rh O
1 2 1 8
Cartesian
0.000 0.000 0.000
-4.271 0.563 0.127
-3.744 0.500 3.588
-1.892 2.393 1.570
-4.770 1.798 4.439
-2.614 0.466 1.643
-4.200 -1.573 2.839
-3.245 -0.735 -0.724
-3.816 2.636 0.876
-5.402 0.597 2.073
-6.139 1.673 -0.457
-1.876 -0.610 4.173